# 1
DFT (PBE) results for crystalline GdDyGa4Fe2 at its relaxed geometry.

Cell and atoms, written as CIF:
```
data_GdDyGa4Fe2
_chemical_formula_sum 'Gd2 Dy2 Ga8 Fe4'
_cell_length_a 4.042
_cell_length_b 4.122
_cell_length_c 17.794
_cell_angle_alpha 90.00
_cell_angle_beta 90.00
_cell_angle_gamma 90.00
_space_group_name_H-M_alt 'A m m 2'
_space_group_IT_number 38
loop_
_space_group_symop_operation_xyz
'x,y,z'
'-x,-y,z'
'-x,y,z'
'x,-y,z'
'x,y+1/2,z+1/2'
'-x,-y+1/2,z+1/2'
'-x,y+1/2,z+1/2'
'x,-y+1/2,z+1/2'
loop_
_atom_site_label
_atom_site_type_symbol
_atom_site_fract_x
_atom_site_fract_y
_atom_site_fract_z
Gd1 Gd 0.000 0.000 0.000
Dy1 Dy 0.000 0.000 0.285
Ga1 Ga 0.000 0.000 0.643
Ga2 Ga 0.500 0.000 0.143
Ga3 Ga 0.500 0.000 0.433
Ga4 Ga 0.500 0.000 0.852
Fe1 Fe 0.500 0.000 0.569
Fe2 Fe 0.500 0.000 0.717
```



# 2
DFT (PBE) results for crystalline GdDyGa2Fe4 at its relaxed geometry.

Cell and atoms, written as CIF:
```
data_GdDyGa2Fe4
_chemical_formula_sum 'Gd1 Dy1 Ga2 Fe4'
_cell_length_a 4.1931
_cell_length_b 4.1931
_cell_length_c 9.3325
_cell_angle_alpha 90.00
_cell_angle_beta 90.00
_cell_angle_gamma 120.00
_space_group_name_H-M_alt 'P -6 m 2'
_space_group_IT_number 187
_space_group_name_Hall 'P -6 2'
loop_
_atom_site_label
_atom_site_type_symbol
_atom_site_fract_x
_atom_site_fract_y
_atom_site_fract_z
Gd1 Gd 0.0000 0.0000 0.0000
Dy1 Dy 0.3333 0.6667 0.5000
Ga1 Ga 0.6667 0.3333 0.2515
Fe1 Fe 0.0000 0.0000 0.2928
Fe2 Fe 0.3333 0.6667 0.2109
```



# 3
DFT (PBE) results for crystalline Dy4GaFe2Ge4 at its relaxed geometry.

Cell and atoms, written as CIF:
```
data_Dy4GaFe2Ge4
_chemical_formula_sum 'Dy8 Ga2 Fe4 Ge8'
_cell_length_a 15.281
_cell_length_b 4.209
_cell_length_c 6.910
_cell_angle_alpha 90.00
_cell_angle_beta 106.52
_cell_angle_gamma 90.00
_space_group_name_H-M_alt 'C 1 2/m 1'
_space_group_IT_number 12
loop_
_space_group_symop_operation_xyz
'x,y,z'
'-x,-y,-z'
'-x,y,-z'
'x,-y,z'
'x+1/2,y+1/2,z'
'-x+1/2,-y+1/2,-z'
'-x+1/2,y+1/2,-z'
'x+1/2,-y+1/2,z'
loop_
_atom_site_label
_atom_site_type_symbol
_atom_site_fract_x
_atom_site_fract_y
_atom_site_fract_z
Dy1 Dy 0.090 0.000 0.385
Dy2 Dy 0.149 0.000 0.942
Ga1 Ga 0.000 0.500 0.000
Fe1 Fe 0.220 0.500 0.630
Ge1 Ge 0.067 0.500 0.662
Ge2 Ge 0.209 0.500 0.275
```



# 4
DFT (PBE) results for crystalline Dy2HoGa3FeGe2 at its relaxed geometry.

Cell and atoms, written as CIF:
```
data_Dy2HoGa3FeGe2
_chemical_formula_sum 'Dy4 Ho2 Ga6 Fe2 Ge4'
_cell_length_a 4.143
_cell_length_b 12.041
_cell_length_c 6.960
_cell_angle_alpha 90.00
_cell_angle_beta 90.00
_cell_angle_gamma 90.00
_space_group_name_H-M_alt 'A m m 2'
_space_group_IT_number 38
loop_
_space_group_symop_operation_xyz
'x,y,z'
'-x,-y,z'
'-x,y,z'
'x,-y,z'
'x,y+1/2,z+1/2'
'-x,-y+1/2,z+1/2'
'-x,y+1/2,z+1/2'
'x,-y+1/2,z+1/2'
loop_
_atom_site_label
_atom_site_type_symbol
_atom_site_fract_x
_atom_site_fract_y
_atom_site_fract_z
Dy1 Dy 0.000 0.200 0.000
Ho1 Ho 0.000 0.000 0.599
Ga1 Ga 0.500 0.000 0.974
Ga2 Ga 0.500 0.113 0.313
Fe1 Fe 0.000 0.000 0.200
Ge1 Ge 0.500 0.166 0.700
```



# 5
DFT (PBE) results for crystalline DyHo2Ga3FeGe2 at its relaxed geometry.

Cell and atoms, written as CIF:
```
data_DyHo2Ga3FeGe2
_chemical_formula_sum 'Dy2 Ho4 Ga6 Fe2 Ge4'
_cell_length_a 4.136
_cell_length_b 12.040
_cell_length_c 6.942
_cell_angle_alpha 90.00
_cell_angle_beta 90.00
_cell_angle_gamma 90.00
_space_group_name_H-M_alt 'A m m 2'
_space_group_IT_number 38
loop_
_space_group_symop_operation_xyz
'x,y,z'
'-x,-y,z'
'-x,y,z'
'x,-y,z'
'x,y+1/2,z+1/2'
'-x,-y+1/2,z+1/2'
'-x,y+1/2,z+1/2'
'x,-y+1/2,z+1/2'
loop_
_atom_site_label
_atom_site_type_symbol
_atom_site_fract_x
_atom_site_fract_y
_atom_site_fract_z
Dy1 Dy 0.000 0.000 0.000
Ho1 Ho 0.000 0.200 0.400
Ga1 Ga 0.500 0.000 0.374
Ga2 Ga 0.500 0.113 0.712
Fe1 Fe 0.000 0.000 0.599
Ge1 Ge 0.500 0.167 0.100
```



# 6
DFT (PBE) results for crystalline TbDy2Ga3FeGe2 at its relaxed geometry.

Cell and atoms, written as CIF:
```
data_TbDy2Ga3FeGe2
_chemical_formula_sum 'Tb2 Dy4 Ga6 Fe2 Ge4'
_cell_length_a 4.151
_cell_length_b 12.079
_cell_length_c 6.965
_cell_angle_alpha 90.00
_cell_angle_beta 90.00
_cell_angle_gamma 90.00
_space_group_name_H-M_alt 'A m m 2'
_space_group_IT_number 38
loop_
_space_group_symop_operation_xyz
'x,y,z'
'-x,-y,z'
'-x,y,z'
'x,-y,z'
'x,y+1/2,z+1/2'
'-x,-y+1/2,z+1/2'
'-x,y+1/2,z+1/2'
'x,-y+1/2,z+1/2'
loop_
_atom_site_label
_atom_site_type_symbol
_atom_site_fract_x
_atom_site_fract_y
_atom_site_fract_z
Tb1 Tb 0.000 0.000 0.000
Dy1 Dy 0.000 0.200 0.400
Ga1 Ga 0.500 0.000 0.374
Ga2 Ga 0.500 0.113 0.713
Fe1 Fe 0.000 0.000 0.600
Ge1 Ge 0.500 0.167 0.100
```



DFT total energy (computed, eV per atom): -5.1601, -6.2370, -5.8081, -5.1354, -5.1322, -5.1416
Spin magnetization (computed, μB per formula unit): 3.03, 7.03, 0.02, 0.00, 0.00, 0.00